DFT (PBE) results for a relaxed structure of LaGdBe.

## Properties
Its space group is No. 216. The calculation puts the final energy at -10.70 eV for the cell shown.

Cell lengths 4.862, 4.862, 4.862 Å; angles 60.00, 60.00, 60.00 degrees
Element x y z (fractional)
Be 0.250 0.250 0.250
Gd 0.750 0.750 0.750
La 0.000 0.000 0.000